5
Lattice="-2.463 -2.771 3.599 3.487 -2.952 0.114 2.256 2.808 3.705" Properties=species:S:1:pos:R:3 comment="CuNiMoI2 (PBE, optimized geometry)" raw_formation_energy_mev_per_atom=1079 total_energy_ry_per_atom=-0.2707 dos_ef_per_ev_atom=0.542 pbc="T T T"
I 1.128 1.404 1.852
I -1.231 -1.385 1.800
Ni 0.000 0.000 0.000
Mo 1.640 -1.457 3.709
Cu 1.744 -1.476 0.057